# 1
DFT (GGA-PBE) results for Pr12ZnNi6 after structural relaxation.

```
data_Pr12ZnNi6
_symmetry_space_group_name_H-M 'I m -3'
_symmetry_Int_Tables_number 204
_symmetry_space_group_name_Hall '-I 2 2 3'
_cell_length_a 10.088
_cell_length_b 10.088
_cell_length_c 10.088
_cell_angle_alpha 90.00
_cell_angle_beta 90.00
_cell_angle_gamma 90.00
loop_
_atom_site_label
_atom_site_type_symbol
_atom_site_fract_x
_atom_site_fract_y
_atom_site_fract_z
Pr1 Pr 0.000 0.305 0.185
Zn1 Zn 0.000 0.000 0.000
Ni1 Ni 0.000 0.122 0.500
```

Output
* ΔE_f: -0.210 eV per atom
* uncorrected energy: -194.6 eV for the cell shown
* DOS at the Fermi energy: 33.00 states/eV/cell
* M_tot: 0.0 μB per formula unit



# 2
DFT (GGA-PBE) results for Rb2Tm2RhO6 after structural relaxation.

```
data_Rb2Tm2RhO6
_symmetry_space_group_name_H-M 'C 1 2/m 1'
_symmetry_Int_Tables_number 12
_cell_length_a 5.737
_cell_length_b 9.854
_cell_length_c 6.859
_cell_angle_alpha 90.00
_cell_angle_beta 104.97
_cell_angle_gamma 90.00
loop_
_symmetry_equiv_pos_as_xyz
'x,y,z'
'-x,-y,-z'
'-x,y,-z'
'x,-y,z'
'x+1/2,y+1/2,z'
'-x+1/2,-y+1/2,-z'
'-x+1/2,y+1/2,-z'
'x+1/2,-y+1/2,z'
loop_
_atom_site_label
_atom_site_type_symbol
_atom_site_fract_x
_atom_site_fract_y
_atom_site_fract_z
Rb1 Rb 0.000 0.164 0.000
Tm1 Tm 0.000 0.335 0.500
Rh1 Rh 0.000 0.000 0.500
O1 O 0.207 0.158 0.664
O2 O 0.242 0.500 0.666
```

Output
* uncorrected energy: -144.2 eV for the cell shown
* DOS at the Fermi energy: 14.49 states/eV/cell
* M_tot: 1.1 μB per formula unit



# 3
DFT (GGA-PBE) results for Nd2InSn2 after structural relaxation.

```
data_Nd2InSn2
_symmetry_space_group_name_H-M 'P 4/m b m'
_symmetry_Int_Tables_number 127
_symmetry_space_group_name_Hall '-P 4 2ab'
_cell_length_a 7.954
_cell_length_b 7.954
_cell_length_c 4.593
_cell_angle_alpha 90.00
_cell_angle_beta 90.00
_cell_angle_gamma 90.00
loop_
_atom_site_label
_atom_site_type_symbol
_atom_site_fract_x
_atom_site_fract_y
_atom_site_fract_z
Nd1 Nd 0.175 0.325 0.000
In1 In 0.000 0.000 0.500
Sn1 Sn 0.129 0.629 0.500
```

Output
* ΔE_f: -0.633 eV per atom
* uncorrected energy: -46.9 eV for the cell shown
* DOS at the Fermi energy: 5.90 states/eV/cell
* M_tot: 0.0 μB per formula unit



# 4
DFT (GGA-PBE) results for Zn2BPBr after structural relaxation.

```
data_Zn2BPBr
_symmetry_space_group_name_H-M 'P 4/m m m'
_symmetry_Int_Tables_number 123
_symmetry_space_group_name_Hall '-P 4 2'
_cell_length_a 4.905
_cell_length_b 4.905
_cell_length_c 3.842
_cell_angle_alpha 90.00
_cell_angle_beta 90.00
_cell_angle_gamma 90.00
loop_
_atom_site_label
_atom_site_type_symbol
_atom_site_fract_x
_atom_site_fract_y
_atom_site_fract_z
Zn1 Zn 0.000 0.500 0.000
B1 B 0.000 0.000 0.500
P1 P 0.000 0.000 0.000
Br1 Br 0.500 0.500 0.500
```

Output
* uncorrected energy: -13.7 eV for the cell shown
* DOS at the Fermi energy: 2.45 states/eV/cell
* M_tot: 0.0 μB per formula unit



# 5
DFT (GGA-PBE) results for PmEr8Cd6 after structural relaxation.

```
data_PmEr8Cd6
_symmetry_space_group_name_H-M 'R -3'
_symmetry_Int_Tables_number 148
_symmetry_space_group_name_Hall '-R 3'
_cell_length_a 8.9444
_cell_length_b 8.9444
_cell_length_c 18.9921
_cell_angle_alpha 90.00
_cell_angle_beta 90.00
_cell_angle_gamma 120.00
loop_
_atom_site_label
_atom_site_type_symbol
_atom_site_fract_x
_atom_site_fract_y
_atom_site_fract_z
Pm1 Pm 0.0000 0.0000 0.0000
Er1 Er 0.0000 0.0000 0.3328
Er2 Er 0.0013 0.6654 0.7828
Cd1 Cd 0.0001 0.3388 0.0530
```

Output
* ΔE_f: -0.056 eV per atom
* uncorrected energy: -142.7 eV for the cell shown
* DOS at the Fermi energy: 54.53 states/eV/cell
* M_tot: 0.3 μB per formula unit



# 6
DFT (GGA-PBE) results for Sm2Al8Co after structural relaxation.

```
data_Sm2Al8Co
_symmetry_space_group_name_H-M 'P 4/m m m'
_symmetry_Int_Tables_number 123
_symmetry_space_group_name_Hall '-P 4 2'
_cell_length_a 4.260
_cell_length_b 4.260
_cell_length_c 11.286
_cell_angle_alpha 90.00
_cell_angle_beta 90.00
_cell_angle_gamma 90.00
loop_
_atom_site_label
_atom_site_type_symbol
_atom_site_fract_x
_atom_site_fract_y
_atom_site_fract_z
Sm1 Sm 0.000 0.000 0.194
Al1 Al 0.000 0.500 0.000
Al2 Al 0.000 0.500 0.386
Al3 Al 0.500 0.500 0.194
Co1 Co 0.000 0.000 0.500
```

Output
* ΔE_f: -0.427 eV per atom
* uncorrected energy: -51.2 eV for the cell shown
* DOS at the Fermi energy: 3.97 states/eV/cell
* M_tot: 0.0 μB per formula unit



# 7
DFT (GGA-PBE) results for Ac6YTm after structural relaxation.

```
data_Ac6YTm
_symmetry_space_group_name_H-M 'I 4/m m m'
_symmetry_Int_Tables_number 139
_symmetry_space_group_name_Hall '-I 4 2'
_cell_length_a 5.585
_cell_length_b 5.585
_cell_length_c 21.337
_cell_angle_alpha 90.00
_cell_angle_beta 90.00
_cell_angle_gamma 90.00
loop_
_atom_site_label
_atom_site_type_symbol
_atom_site_fract_x
_atom_site_fract_y
_atom_site_fract_z
Ac1 Ac 0.000 0.000 0.250
Ac2 Ac 0.000 0.500 0.116
Y1 Y 0.000 0.000 0.000
Tm1 Tm 0.000 0.000 0.500
```

Output
* ΔE_f: 0.047 eV per atom
* uncorrected energy: -70.4 eV for the cell shown
* DOS at the Fermi energy: 27.14 states/eV/cell
* M_tot: 0.0 μB per formula unit



# 8
DFT (GGA-PBE) results for Dy3CoCu after structural relaxation.

```
data_Dy3CoCu
_symmetry_space_group_name_H-M 'C 1 2/m 1'
_symmetry_Int_Tables_number 12
_cell_length_a 15.688
_cell_length_b 3.722
_cell_length_c 7.988
_cell_angle_alpha 90.00
_cell_angle_beta 95.35
_cell_angle_gamma 90.00
loop_
_symmetry_equiv_pos_as_xyz
'x,y,z'
'-x,-y,-z'
'-x,y,-z'
'x,-y,z'
'x+1/2,y+1/2,z'
'-x+1/2,-y+1/2,-z'
'-x+1/2,y+1/2,-z'
'x+1/2,-y+1/2,z'
loop_
_atom_site_label
_atom_site_type_symbol
_atom_site_fract_x
_atom_site_fract_y
_atom_site_fract_z
Dy1 Dy 0.065 0.000 0.314
Dy2 Dy 0.100 0.500 0.947
Dy3 Dy 0.233 0.000 0.694
Co1 Co 0.218 0.000 0.061
Cu1 Cu 0.082 0.500 0.580
```

Output
* ΔE_f: -0.167 eV per atom
* uncorrected energy: -103.4 eV for the cell shown
* DOS at the Fermi energy: 19.31 states/eV/cell
* M_tot: 0.0 μB per formula unit



# 9
DFT (GGA-PBE) results for Ca2AcYIn4 after structural relaxation.

```
data_Ca2AcYIn4
_symmetry_space_group_name_H-M 'R -3 m'
_symmetry_Int_Tables_number 166
_symmetry_space_group_name_Hall '-R 3 2"'
_cell_length_a 5.5087
_cell_length_b 5.5087
_cell_length_c 27.2542
_cell_angle_alpha 90.00
_cell_angle_beta 90.00
_cell_angle_gamma 120.00
loop_
_atom_site_label
_atom_site_type_symbol
_atom_site_fract_x
_atom_site_fract_y
_atom_site_fract_z
Ca1 Ca 0.0000 0.0000 0.2488
Ac1 Ac 0.0000 0.0000 0.0000
Y1 Y 0.0000 0.0000 0.5000
In1 In 0.0000 0.0000 0.1283
In2 In 0.0000 0.0000 0.3808
```

Output
* ΔE_f: -0.438 eV per atom
* uncorrected energy: -87.1 eV for the cell shown
* DOS at the Fermi energy: 18.75 states/eV/cell
* M_tot: 0.0 μB per formula unit



# 10
DFT (GGA-PBE) results for Mg2ZrBe after structural relaxation.

```
data_Mg2ZrBe
_symmetry_space_group_name_H-M 'C m m m'
_symmetry_Int_Tables_number 65
_symmetry_space_group_name_Hall '-C 2 2'
_cell_length_a 5.741
_cell_length_b 9.705
_cell_length_c 2.794
_cell_angle_alpha 90.00
_cell_angle_beta 90.00
_cell_angle_gamma 90.00
loop_
_atom_site_label
_atom_site_type_symbol
_atom_site_fract_x
_atom_site_fract_y
_atom_site_fract_z
Mg1 Mg 0.250 0.250 0.000
Zr1 Zr 0.000 0.000 0.500
Be1 Be 0.000 0.500 0.500
```

Output
* ΔE_f: 0.345 eV per atom
* uncorrected energy: -28.2 eV for the cell shown
* DOS at the Fermi energy: 7.05 states/eV/cell
* M_tot: 0.0 μB per formula unit



# 11
DFT (GGA-PBE) results for KRbSr2Cd after structural relaxation.

```
data_KRbSr2Cd
_symmetry_space_group_name_H-M 'P 4/m m m'
_symmetry_Int_Tables_number 123
_symmetry_space_group_name_Hall '-P 4 2'
_cell_length_a 6.553
_cell_length_b 6.553
_cell_length_c 7.028
_cell_angle_alpha 90.00
_cell_angle_beta 90.00
_cell_angle_gamma 90.00
loop_
_atom_site_label
_atom_site_type_symbol
_atom_site_fract_x
_atom_site_fract_y
_atom_site_fract_z
K1 K 0.000 0.000 0.000
Rb1 Rb 0.500 0.500 0.000
Sr1 Sr 0.000 0.500 0.500
Cd1 Cd 0.000 0.000 0.500
```

Output
* ΔE_f: 0.030 eV per atom
* uncorrected energy: -6.2 eV for the cell shown
* DOS at the Fermi energy: 3.71 states/eV/cell
* M_tot: 0.0 μB per formula unit



# 12
DFT (GGA-PBE) results for MoRu2 after structural relaxation.

```
data_MoRu2
_symmetry_space_group_name_H-M 'I m m a'
_symmetry_Int_Tables_number 74
_symmetry_space_group_name_Hall '-I 2b 2'
_cell_length_a 2.729
_cell_length_b 4.145
_cell_length_c 16.864
_cell_angle_alpha 90.00
_cell_angle_beta 90.00
_cell_angle_gamma 90.00
loop_
_atom_site_label
_atom_site_type_symbol
_atom_site_fract_x
_atom_site_fract_y
_atom_site_fract_z
Mo1 Mo 0.000 0.250 0.118
Ru1 Ru 0.000 0.250 0.537
Ru2 Ru 0.000 0.250 0.687
```

Output
* ΔE_f: 0.388 eV per atom
* uncorrected energy: -112.9 eV for the cell shown
* DOS at the Fermi energy: 13.37 states/eV/cell
* M_tot: 0.0 μB per formula unit



What is the M_tot in the eighth record?
0.0 μB per formula unit



Among the records above, which one has the lowest DOS at the Fermi energy?
Zn2BPBr



uncorrected energy of number 11 (KRbSr2Cd)?
-6.2 eV for the cell shown